(1)
Computed, not measured: crystalline La2ScTa at its relaxed geometry at the PBE level of DFT.

The structure in CIF format:
```
data_La2ScTa
_chemical_formula_sum 'La2 Sc1 Ta1'
_symmetry_space_group_name_H-M 'P 1'
_symmetry_Int_Tables_number 1
_cell_length_a 3.308
_cell_length_b 4.823
_cell_length_c 6.766
_cell_angle_alpha 90.00
_cell_angle_beta 90.00
_cell_angle_gamma 90.00
loop_
_symmetry_equiv_pos_as_xyz
'x,y,z'
loop_
_atom_site_label
_atom_site_type_symbol
_atom_site_fract_x
_atom_site_fract_y
_atom_site_fract_z
_atom_site_occupancy
La1 La 0.000 0.000 0.240 1
La2 La 0.000 0.000 0.760 1
Sc1 Sc 0.500 0.500 0.500 1
Ta1 Ta 0.500 0.500 0.000 1
```

Output
DOS(E_F) = 6.09 states/eV/f.u.
E_tot = -26.4 eV/cell
Calculated formation energy = 0.4086 eV/atom

(2)
Computed, not measured: crystalline U2AgO8 at its relaxed geometry at the PBE level of DFT.

The structure in CIF format:
```
data_U2AgO8
_chemical_formula_sum 'U2 Ag1 O8'
_symmetry_space_group_name_H-M 'P 1'
_symmetry_Int_Tables_number 1
_cell_length_a 5.745
_cell_length_b 5.745
_cell_length_c 4.725
_cell_angle_alpha 102.02
_cell_angle_beta 102.02
_cell_angle_gamma 107.73
loop_
_symmetry_equiv_pos_as_xyz
'x,y,z'
loop_
_atom_site_label
_atom_site_type_symbol
_atom_site_fract_x
_atom_site_fract_y
_atom_site_fract_z
_atom_site_occupancy
U1 U 0.196 0.804 0.000 1
U2 U 0.804 0.196 0.000 1
Ag1 Ag 0.500 0.500 0.500 1
O1 O 0.140 0.436 0.862 1
O2 O 0.163 0.163 0.251 1
O3 O 0.282 0.718 0.500 1
O4 O 0.436 0.140 0.862 1
O5 O 0.564 0.860 0.138 1
O6 O 0.718 0.282 0.500 1
O7 O 0.837 0.837 0.749 1
O8 O 0.860 0.564 0.138 1
```

Output
DOS(E_F) = 2.08 states/eV/f.u.
E_form (uncorrected) = -1898 meV/atom
E_tot = -86.0 eV/cell

Looking at spin magnetization for the records above, in order, we have 0.0 1.0 μB per cell.